(1)
HfTi5Fe6 | GGA-PBE | optimized geometry

a = 4.226 Å, b = 5.959 Å, c = 6.682 Å
α = 90.00°, β = 108.48°, γ = 90.00°
Fractional positions:
1 Ti 0.000 0.500 0.000
2 Ti 0.331 0.000 0.661
3 Ti 0.667 0.500 0.334
4 Ti 0.669 0.000 0.339
5 Ti 0.333 0.500 0.666
6 Fe 0.500 0.258 0.000
7 Fe 0.831 0.746 0.661
8 Fe 0.169 0.254 0.339
9 Fe 0.831 0.254 0.661
10 Fe 0.169 0.746 0.339
11 Fe 0.500 0.742 0.000
12 Hf 0.000 0.000 0.000

Values from the calculation:
* space-group type: No. 65
* VASP energy: -104.8 eV for the cell shown
* magnetic moment: 0.0 μB per cell
* formation enthalpy at 0 K: -0.3804 eV per atom

(2)
Cd2AuBr | GGA-PBE | optimized geometry

a = 5.150 Å, b = 5.150 Å, c = 5.150 Å
α = 60.00°, β = 60.00°, γ = 60.00°
Fractional positions:
1 Cd 0.000 0.000 0.000
2 Cd 0.250 0.250 0.250
3 Br 0.750 0.750 0.750
4 Au 0.500 0.500 0.500

Values from the calculation:
* ΔE to the lowest computed polymorph: 451 meV per atom
* space-group type: No. 216
* uncorrected formation energy: 0.199 eV/atom
* VASP energy: -6.0 eV for the cell shown
* magnetic moment: 0.0 μB per cell

(3)
MgRuAu2 | GGA-PBE | optimized geometry

a = 4.811 Å, b = 4.811 Å, c = 4.811 Å
α = 128.04°, β = 128.01°, γ = 76.59°
Fractional positions:
1 Ru 0.250 0.750 0.500
2 Au 0.500 0.500 0.000
3 Au 0.000 0.000 0.000
4 Mg 0.750 0.250 0.500

Values from the calculation:
* space-group type: No. 139
* VASP energy: -17.4 eV for the cell shown
* magnetic moment: 0.0 μB per cell
* formation enthalpy at 0 K: -0.0058 eV per atom